# 1
# LaCu2Mo | Alexandria | PBE-GGA | optimized geometry
# - E above lowest polymorph: 0.0 meV per atom
# - Final energy: -5.7282 eV per atom
# - Spin magnetization: 0.8 μB per formula unit
# - E_form: 25.0 kJ/mol of atoms
data_LaCu2Mo
_cell_length_a 7.494
_cell_length_b 4.324
_cell_length_c 5.657
_cell_angle_alpha 90.00
_cell_angle_beta 116.03
_cell_angle_gamma 90.00
_symmetry_space_group_name_H-M 'C 1 2/m 1'
_symmetry_Int_Tables_number 12
loop_
_symmetry_equiv_pos_as_xyz
'x,y,z'
'-x,-y,-z'
'-x,y,-z'
'x,-y,z'
'x+1/2,y+1/2,z'
'-x+1/2,-y+1/2,-z'
'-x+1/2,y+1/2,-z'
'x+1/2,-y+1/2,z'
loop_
_atom_site_label
_atom_site_fract_x
_atom_site_fract_y
_atom_site_fract_z
La1 0.000 0.000 0.000
Cu1 0.197 0.000 0.590
Mo1 0.000 0.500 0.500


# 2
# LaCuMo2 | Alexandria | PBE-GGA | optimized geometry
# - E above lowest polymorph: 298.1 meV per atom
# - Final energy: -7.1203 eV per atom
# - Spin magnetization: 0.0 μB per formula unit
# - E_form: 53.2 kJ/mol of atoms
data_LaCuMo2
_cell_length_a 3.475
_cell_length_b 4.983
_cell_length_c 9.076
_cell_angle_alpha 90.00
_cell_angle_beta 90.00
_cell_angle_gamma 90.00
_symmetry_space_group_name_H-M 'I m m 2'
_symmetry_Int_Tables_number 44
loop_
_symmetry_equiv_pos_as_xyz
'x,y,z'
'-x,-y,z'
'-x,y,z'
'x,-y,z'
'x+1/2,y+1/2,z+1/2'
'-x+1/2,-y+1/2,z+1/2'
'-x+1/2,y+1/2,z+1/2'
'x+1/2,-y+1/2,z+1/2'
loop_
_atom_site_label
_atom_site_fract_x
_atom_site_fract_y
_atom_site_fract_z
La1 0.000 0.000 0.000
Cu1 0.000 0.500 0.222
Mo1 0.000 0.000 0.466
Mo2 0.000 0.500 0.771


# 3
# LaCu2Mo | Alexandria | PBE-GGA | optimized geometry
# - E above lowest polymorph: 87.9 meV per atom
# - Final energy: -5.6403 eV per atom
# - Spin magnetization: 0.0 μB per formula unit
# - E_form: 33.5 kJ/mol of atoms
data_LaCu2Mo
_cell_length_a 2.940
_cell_length_b 2.940
_cell_length_c 8.069
_cell_angle_alpha 90.00
_cell_angle_beta 90.00
_cell_angle_gamma 90.00
_symmetry_space_group_name_H-M 'P 4 m m'
_symmetry_Int_Tables_number 99
loop_
_symmetry_equiv_pos_as_xyz
'x,y,z'
'-y,x,z'
'-x,-y,z'
'y,-x,z'
'-x,y,z'
'y,x,z'
'x,-y,z'
'-y,-x,z'
loop_
_atom_site_label
_atom_site_fract_x
_atom_site_fract_y
_atom_site_fract_z
La1 0.000 0.000 0.000
Cu1 0.000 0.000 0.533
Cu2 0.500 0.500 0.704
Mo1 0.500 0.500 0.323


# 4
# LaCu2Mo | Alexandria | PBE-GGA | optimized geometry
# - E above lowest polymorph: 188.5 meV per atom
# - Final energy: -5.5397 eV per atom
# - Spin magnetization: 0.0 μB per formula unit
# - E_form: 43.2 kJ/mol of atoms
data_LaCu2Mo
_cell_length_a 3.862
_cell_length_b 4.447
_cell_length_c 8.385
_cell_angle_alpha 90.00
_cell_angle_beta 90.00
_cell_angle_gamma 90.00
_symmetry_space_group_name_H-M 'I m m m'
_symmetry_Int_Tables_number 71
_symmetry_space_group_name_Hall '-I 2 2'
loop_
_atom_site_label
_atom_site_fract_x
_atom_site_fract_y
_atom_site_fract_z
La1 0.000 0.000 0.000
Cu1 0.000 0.500 0.237
Mo1 0.000 0.000 0.500


# 5
# LaCuMo | Alexandria | PBE-GGA | optimized geometry
# - E above lowest polymorph: 250.8 meV per atom
# - Final energy: -5.9353 eV per atom
# - Spin magnetization: 0.0 μB per formula unit
# - E_form: 65.9 kJ/mol of atoms
data_LaCuMo
_cell_length_a 2.9615
_cell_length_b 2.9615
_cell_length_c 7.6298
_cell_angle_alpha 90.00
_cell_angle_beta 90.00
_cell_angle_gamma 120.00
_symmetry_space_group_name_H-M 'P 3 m 1'
_symmetry_Int_Tables_number 156
loop_
_symmetry_equiv_pos_as_xyz
'x,y,z'
'-y,x-y,z'
'-x+y,-x,z'
'-y,-x,z'
'-x+y,y,z'
'x,x-y,z'
loop_
_atom_site_label
_atom_site_fract_x
_atom_site_fract_y
_atom_site_fract_z
La1 0.0000 0.0000 0.0000
Cu1 0.3333 0.6667 0.6395
Mo1 0.6667 0.3333 0.3722


# 6
# LaCuMo2 | Alexandria | PBE-GGA | optimized geometry
# - E above lowest polymorph: 487.4 meV per atom
# - Final energy: -6.9311 eV per atom
# - Spin magnetization: 0.0 μB per formula unit
# - E_form: 71.4 kJ/mol of atoms
data_LaCuMo2
_cell_length_a 5.656
_cell_length_b 9.614
_cell_length_c 2.713
_cell_angle_alpha 90.00
_cell_angle_beta 90.00
_cell_angle_gamma 90.00
_symmetry_space_group_name_H-M 'C m m m'
_symmetry_Int_Tables_number 65
_symmetry_space_group_name_Hall '-C 2 2'
loop_
_atom_site_label
_atom_site_fract_x
_atom_site_fract_y
_atom_site_fract_z
La1 0.000 0.000 0.000
Cu1 0.000 0.500 0.000
Mo1 0.250 0.250 0.500


# 7
# LaCuMo2 | Alexandria | PBE-GGA | optimized geometry
# - E above lowest polymorph: 208.9 meV per atom
# - Final energy: -7.2096 eV per atom
# - Spin magnetization: 0.0 μB per formula unit
# - E_form: 44.6 kJ/mol of atoms
data_LaCuMo2
_cell_length_a 9.818
_cell_length_b 3.213
_cell_length_c 5.190
_cell_angle_alpha 90.00
_cell_angle_beta 101.50
_cell_angle_gamma 90.00
_symmetry_space_group_name_H-M 'C 1 2/m 1'
_symmetry_Int_Tables_number 12
loop_
_symmetry_equiv_pos_as_xyz
'x,y,z'
'-x,-y,-z'
'-x,y,-z'
'x,-y,z'
'x+1/2,y+1/2,z'
'-x+1/2,-y+1/2,-z'
'-x+1/2,y+1/2,-z'
'x+1/2,-y+1/2,z'
loop_
_atom_site_label
_atom_site_fract_x
_atom_site_fract_y
_atom_site_fract_z
La1 0.000 0.000 0.000
Cu1 0.000 0.500 0.500
Mo1 0.218 0.000 0.655


# 8
# LaCuMo2 | Alexandria | PBE-GGA | optimized geometry
# - E above lowest polymorph: 204.3 meV per atom
# - Final energy: -7.2141 eV per atom
# - Spin magnetization: 0.0 μB per formula unit
# - E_form: 44.1 kJ/mol of atoms
data_LaCuMo2
_cell_length_a 8.345
_cell_length_b 3.308
_cell_length_c 6.052
_cell_angle_alpha 90.00
_cell_angle_beta 101.23
_cell_angle_gamma 90.00
_symmetry_space_group_name_H-M 'C 1 m 1'
_symmetry_Int_Tables_number 8
loop_
_symmetry_equiv_pos_as_xyz
'x,y,z'
'x,-y,z'
'x+1/2,y+1/2,z'
'x+1/2,-y+1/2,z'
loop_
_atom_site_label
_atom_site_fract_x
_atom_site_fract_y
_atom_site_fract_z
La1 0.000 0.000 0.000
Cu1 0.248 0.500 0.323
Mo1 0.210 0.000 0.660
Mo2 0.475 0.000 0.500


# 9
# LaCu2Mo | Alexandria | PBE-GGA | optimized geometry
# - E above lowest polymorph: 411.0 meV per atom
# - Final energy: -5.3171 eV per atom
# - Spin magnetization: 2.4 μB per formula unit
# - E_form: 64.7 kJ/mol of atoms
data_LaCu2Mo
_cell_length_a 4.497
_cell_length_b 4.497
_cell_length_c 17.951
_cell_angle_alpha 90.00
_cell_angle_beta 90.00
_cell_angle_gamma 90.00
_symmetry_space_group_name_H-M 'I -4 2 d'
_symmetry_Int_Tables_number 122
_symmetry_space_group_name_Hall 'I -4 2bw'
loop_
_atom_site_label
_atom_site_fract_x
_atom_site_fract_y
_atom_site_fract_z
La1 0.000 0.000 0.000
Cu1 0.073 0.250 0.625
Mo1 0.000 0.000 0.500


# 10
# LaCu2Mo | Alexandria | PBE-GGA | optimized geometry
# - E above lowest polymorph: 182.8 meV per atom
# - Final energy: -5.5454 eV per atom
# - Spin magnetization: 2.6 μB per formula unit
# - E_form: 42.7 kJ/mol of atoms
data_LaCu2Mo
_cell_length_a 6.747
_cell_length_b 6.747
_cell_length_c 6.747
_cell_angle_alpha 90.00
_cell_angle_beta 90.00
_cell_angle_gamma 90.00
_symmetry_space_group_name_H-M 'F m -3 m'
_symmetry_Int_Tables_number 225
_symmetry_space_group_name_Hall '-F 4 2 3'
loop_
_atom_site_label
_atom_site_fract_x
_atom_site_fract_y
_atom_site_fract_z
La1 0.000 0.000 0.000
Cu1 0.250 0.250 0.250
Mo1 0.000 0.000 0.500


# 11
# La2CuMo2 | Alexandria | PBE-GGA | optimized geometry
# - E above lowest polymorph: 407.2 meV per atom
# - Final energy: -6.3347 eV per atom
# - Spin magnetization: 0.0 μB per formula unit
# - E_form: 76.0 kJ/mol of atoms
data_La2CuMo2
_cell_length_a 5.731
_cell_length_b 5.731
_cell_length_c 7.531
_cell_angle_alpha 90.00
_cell_angle_beta 90.00
_cell_angle_gamma 90.00
_symmetry_space_group_name_H-M 'I 4/m m m'
_symmetry_Int_Tables_number 139
_symmetry_space_group_name_Hall '-I 4 2'
loop_
_atom_site_label
_atom_site_fract_x
_atom_site_fract_y
_atom_site_fract_z
La1 0.000 0.500 0.250
Cu1 0.000 0.000 0.000
Mo1 0.000 0.000 0.345


# 12
# LaCuMo2 | Alexandria | PBE-GGA | optimized geometry
# - E above lowest polymorph: 438.2 meV per atom
# - Final energy: -6.9803 eV per atom
# - Spin magnetization: 0.0 μB per formula unit
# - E_form: 66.7 kJ/mol of atoms
data_LaCuMo2
_cell_length_a 4.031
_cell_length_b 4.031
_cell_length_c 9.284
_cell_angle_alpha 90.00
_cell_angle_beta 90.00
_cell_angle_gamma 90.00
_symmetry_space_group_name_H-M 'I 4/m m m'
_symmetry_Int_Tables_number 139
_symmetry_space_group_name_Hall '-I 4 2'
loop_
_atom_site_label
_atom_site_fract_x
_atom_site_fract_y
_atom_site_fract_z
La1 0.000 0.000 0.000
Cu1 0.000 0.000 0.500
Mo1 0.000 0.500 0.250